No. 1
The following is a DFT calculation (PBE) of a relaxed structure of Li3Hg4.

Computed properties:
The calculated density is 10.10 g/cm3. Its symmetry is No. 12. For the formation energy, the calculation gives -0.32 eV/atom. The value obtained for the magnetization is 0.000 μB/atom. The energy above the lowest structure with this stoichiometry is 0 meV/atom.

Unit cell a=3.452 b=3.442 c=11.625 alpha=97.48 beta=98.54 gamma=90.00
Atoms (fractional coordinates):
Li (0.861, 0.362, 0.722)
Li (0.000, 0.500, 0.000)
Li (0.139, 0.638, 0.278)
Hg (0.706, 0.201, 0.412)
Hg (0.294, 0.799, 0.588)
Hg (0.431, 0.929, 0.862)
Hg (0.569, 0.071, 0.138)


No. 2
The following is a DFT calculation (PBE) of a relaxed structure of Cr2Ir6Ru.

Computed properties:
The calculated density is 17.95 g/cm3. Its symmetry is No. 12. For the formation energy, the calculation gives -0.08 eV/atom. The value obtained for the magnetization is 0.232 μB/atom.

Unit cell a=2.714 b=6.008 c=8.130 alpha=103.00 beta=90.00 gamma=103.06
Atoms (fractional coordinates):
Cr (0.666, 0.331, 0.221)
Cr (0.334, 0.669, 0.779)
Ir (0.332, 0.665, 0.109)
Ir (0.668, 0.335, 0.891)
Ir (0.670, 0.340, 0.558)
Ir (0.004, 0.008, 0.328)
Ir (0.996, 0.992, 0.672)
Ir (0.330, 0.660, 0.442)
Ru (0.000, 0.000, 0.000)


No. 3
The following is a DFT calculation (PBE) of a relaxed structure of TbDy3Ag2.

Computed properties:
The calculated density is 7.85 g/cm3. Its symmetry is No. 72. For the formation energy, the calculation gives 0.03 eV/atom. The value obtained for the magnetization is 0.000 μB/atom. The energy above the lowest structure with this stoichiometry is 234 meV/atom.

Unit cell a=7.051 b=7.412 c=8.654 alpha=115.36 beta=114.04 gamma=90.00
Atoms (fractional coordinates):
Tb (0.000, 0.500, 0.000)
Tb (0.000, 0.000, 0.000)
Dy (0.500, 0.250, 0.000)
Dy (0.500, 0.750, 0.000)
Dy (0.772, 0.022, 0.543)
Dy (0.228, 0.478, 0.457)
Dy (0.228, 0.978, 0.457)
Dy (0.772, 0.522, 0.543)
Ag (0.558, 0.358, 0.715)
Ag (0.843, 0.142, 0.285)
Ag (0.157, 0.858, 0.715)
Ag (0.442, 0.642, 0.285)


No. 4
The following is a DFT calculation (PBE) of a relaxed structure of AgGe2Pt.

Computed properties:
The calculated density is 10.76 g/cm3. Its symmetry is No. 225. For the formation energy, the calculation gives 0.03 eV/atom. The value obtained for the magnetization is 0.000 μB/atom. The energy above the lowest structure with this stoichiometry is 63 meV/atom.

Unit cell a=4.608 b=4.608 c=4.608 alpha=60.00 beta=60.00 gamma=60.00
Atoms (fractional coordinates):
Ge (0.250, 0.250, 0.250)
Ge (0.750, 0.750, 0.750)
Ag (0.000, 0.000, 0.000)
Pt (0.500, 0.500, 0.500)


No. 5
The following is a DFT calculation (PBE) of a relaxed structure of PrTmZr.

Computed properties:
The calculated density is 7.64 g/cm3. Its symmetry is No. 156. For the formation energy, the calculation gives 0.12 eV/atom. The value obtained for the magnetization is 0.000 μB/atom. The energy above the lowest structure with this stoichiometry is 11 meV/atom.

Unit cell a=3.445 b=3.445 c=8.481 alpha=90.00 beta=90.00 gamma=120.00
Atoms (fractional coordinates):
Pr (0.000, 0.000, 0.016)
Tm (0.333, 0.667, 0.645)
Zr (0.667, 0.333, 0.339)


No. 6
The following is a DFT calculation (PBE) of a relaxed structure of CdW2Br.

Computed properties:
The calculated density is 12.63 g/cm3. The formation energy from raw total energies is 1243.3 meV per atom. Its symmetry is No. 5. The value obtained for the magnetization is 0.000 μB/atom. The energy above the lowest structure with this stoichiometry is 858 meV/atom.

Unit cell a=4.767 b=4.766 c=4.788 alpha=122.49 beta=122.50 gamma=85.97
Atoms (fractional coordinates):
W (0.997, 0.003, 0.000)
W (0.250, 0.750, 0.500)
Br (0.503, 0.497, 0.000)
Cd (0.750, 0.250, 0.500)


No. 7
The following is a DFT calculation (PBE) of a relaxed structure of Cs2NaHgSe.

Computed properties:
The calculated density is 3.41 g/cm3. The formation energy from raw total energies is -601.2 meV per atom. Its symmetry is No. 123. The value obtained for the magnetization is 0.000 μB/atom.

Unit cell a=7.111 b=7.111 c=5.469 alpha=90.00 beta=90.00 gamma=90.00
Atoms (fractional coordinates):
Cs (0.000, 0.500, 0.000)
Cs (0.500, 0.000, 0.000)
Na (0.000, 0.000, 0.500)
Hg (0.500, 0.500, 0.500)
Se (0.000, 0.000, 0.000)


No. 8
The following is a DFT calculation (PBE) of a relaxed structure of Tb3Pr2ScSe6.

Computed properties:
The calculated density is 7.13 g/cm3. The formation energy from raw total energies is -1748.4 meV per atom. Its symmetry is No. 12. The value obtained for the magnetization is 0.000 μB/atom.

Unit cell a=4.102 b=8.301 c=9.199 alpha=102.75 beta=102.88 gamma=90.00
Atoms (fractional coordinates):
Tb (0.500, 0.500, 0.000)
Tb (0.827, 0.164, 0.655)
Tb (0.173, 0.836, 0.345)
Pr (0.832, 0.665, 0.664)
Pr (0.168, 0.335, 0.336)
Sc (0.500, 0.000, 0.000)
Se (0.341, 0.930, 0.681)
Se (0.662, 0.592, 0.325)
Se (0.659, 0.070, 0.319)
Se (0.995, 0.237, 0.990)
Se (0.005, 0.763, 0.010)
Se (0.338, 0.408, 0.675)